1.
KMgInCl6, optimized geometry, DFT GGA-PBE; total moment = 0.000 μB/f.u.; DOS at the Fermi energy = 0.0000 states/eV/atom; symmetry = P-31c, No. 163
1.0
6.614 0.000 0.000
-3.307 5.728 0.000
0.000 0.000 13.976
K Mg In Cl
2 2 2 12
direct
0.000 0.000 0.000
0.000 0.000 0.500
0.333 0.667 0.250
0.667 0.333 0.750
0.333 0.667 0.750
0.667 0.333 0.250
0.003 0.374 0.146
0.003 0.630 0.354
0.370 0.374 0.354
0.370 0.997 0.146
0.374 0.003 0.646
0.374 0.370 0.854
0.626 0.630 0.146
0.626 0.997 0.354
0.630 0.003 0.854
0.630 0.626 0.646
0.997 0.370 0.646
0.997 0.626 0.854

***

2.
K2Mg2InCl7, optimized geometry, DFT GGA-PBE; total moment = 0.000 μB/f.u.; DOS at the Fermi energy = 0.0000 states/eV/atom; symmetry = I4/mmm, No. 139
1.0
-2.507 2.507 12.854
2.507 -2.507 12.854
2.507 2.507 -12.854
K Mg In Cl
2 2 1 7
direct
0.182 0.182 0.000
0.818 0.818 0.000
0.401 0.401 0.000
0.599 0.599 0.000
0.000 0.000 0.000
0.097 0.597 0.500
0.304 0.304 0.000
0.403 0.903 0.500
0.500 0.500 0.000
0.597 0.097 0.500
0.696 0.696 0.000
0.903 0.403 0.500

***

3.
KMgIn2Cl8, optimized geometry, DFT GGA-PBE; total moment = 0.672 μB/f.u.; DOS at the Fermi energy = 0.4844 states/eV/atom; symmetry = R-3, No. 148
1.0
3.332 1.923 9.302
-3.332 1.923 9.302
0.000 -3.847 9.302
K Mg In Cl
1 1 2 8
direct
0.000 0.000 0.000
0.500 0.500 0.500
0.236 0.236 0.236
0.764 0.764 0.764
0.158 0.775 0.409
0.225 0.591 0.842
0.323 0.323 0.323
0.409 0.158 0.775
0.591 0.842 0.225
0.677 0.677 0.677
0.775 0.409 0.158
0.842 0.225 0.591

***

The records above yield ΔE_f (raw) values of -1576; -1706; -1278 meV per atom, respectively.